1.
This record from Alexandria describes a relaxed TaSi crystal. The functional is PBE-GGA.

Calculated values
The raw formation energy comes out at -0.278 eV per atom. The calculation puts the total energy at -8.916 eV per atom. Its crystal system is hexagonal.

Unit cell a=3.0474 b=3.0474 c=4.0028 alpha=90.00 beta=90.00 gamma=120.00
Closest atoms and distances in Å follow each position.
Atoms (fractional coordinates):
Si 0.0000 0.0000 0.5000  6 Ta 2.66
Ta 0.6667 0.3333 0.0000  6 Si 2.66

2.
This record from Alexandria describes a relaxed Nb2CuSiAg crystal. The functional is PBE-GGA.

Calculated values
The raw formation energy comes out at 0.895 eV per atom. The calculation puts the total energy at -5.607 eV per atom. Its crystal system is tetragonal.

Unit cell a=4.7670 b=4.1465 c=4.7670 alpha=90.00 beta=90.00 gamma=90.00
Closest atoms and distances in Å follow each position.
Atoms (fractional coordinates):
Nb 0.0000 0.0000 0.5000  2 Cu 2.38
Nb 0.5000 0.0000 0.0000  2 Cu 2.38
Si 0.0000 0.5000 0.0000  2 Cu 2.07
Cu 0.0000 0.0000 0.0000  2 Si 2.07
Ag 0.5000 0.5000 0.5000  8 Nb 3.16, 4 Si 3.37

3.
This record from Alexandria describes a relaxed NiIrW2 crystal. The functional is PBE-GGA.

Calculated values
The calculation puts the total energy at -10.111 eV per atom. Its crystal system is tetragonal. Its formation enthalpy at 0 K is 0.03 eV per atom.

Unit cell a=4.7251 b=4.7251 c=4.7251 alpha=131.36 beta=131.36 gamma=71.24
Closest atoms and distances in Å follow each position.
Atoms (fractional coordinates):
Ir 0.5000 0.5000 0.0000  4 Ni 2.73, 8 W 2.73-2.75
Ni 0.2500 0.7500 0.5000  4 Ir 2.73, 8 W 2.73-2.75
W 0.0000 0.0000 0.0000  4 W 2.73, 4 Ni 2.73, 4 Ir 2.75
W 0.7500 0.2500 0.5000  4 W 2.73, 4 Ir 2.73, 4 Ni 2.75

4.
This record from Alexandria describes a relaxed Sr4Cd2S crystal. The functional is PBE-GGA.

Calculated values
The raw formation energy comes out at -0.619 eV per atom. The calculation puts the total energy at -2.431 eV per atom. Its crystal system is tetragonal.

Unit cell a=5.6857 b=5.6857 c=9.4051 alpha=107.59 beta=107.59 gamma=90.00
Closest atoms and distances in Å follow each position.
Atoms (fractional coordinates):
Sr 0.8183 0.8183 0.6366  1 S 3.09, 1 Cd 3.34
Sr 0.1817 0.1817 0.3634  1 S 3.09, 1 Cd 3.34
Sr 0.0000 0.5000 0.0000  2 S 2.84
Sr 0.5000 0.0000 0.0000  2 S 2.84
S 0.0000 0.0000 0.0000  6 Sr 2.84-3.09
Cd 0.6220 0.6220 0.2439  5 Sr 3.34-3.52
Cd 0.3780 0.3780 0.7561  5 Sr 3.34-3.52

5.
This record from Alexandria describes a relaxed CaTeMo2 crystal. The functional is PBE-GGA.

Calculated values
The raw formation energy comes out at 0.549 eV per atom. The calculation puts the total energy at -6.152 eV per atom. Its crystal system is tetragonal.

Unit cell a=3.6459 b=3.6463 c=6.4878 alpha=90.00 beta=90.00 gamma=90.00
Closest atoms and distances in Å follow each position.
Atoms (fractional coordinates):
Mo 0.0000 0.0000 0.0623  1 Mo 2.44
Mo 0.0000 0.0000 0.4377  1 Mo 2.44
Te 0.5000 0.5000 0.2500  8 Mo 2.85
Ca 0.5000 0.5000 0.7500  2 Te 3.24, 8 Mo 3.28

6.
This record from Alexandria describes a relaxed La2CrAgSb crystal. The functional is PBE-GGA.

Calculated values
The raw formation energy comes out at -0.046 eV per atom. The calculation puts the total energy at -5.336 eV per atom. Its crystal system is tetragonal.

Unit cell a=5.3295 b=4.9274 c=5.3295 alpha=90.00 beta=90.00 gamma=90.00
Closest atoms and distances in Å follow each position.
Atoms (fractional coordinates):
Sb 0.0000 0.5000 0.0000  2 Cr 2.46
Cr 0.0000 0.0000 0.0000  2 Sb 2.46, 4 La 2.66
Ag 0.5000 0.5000 0.5000  8 La 3.63, 4 Sb 3.77
La 0.0000 0.0000 0.5000  2 Cr 2.66
La 0.5000 0.0000 0.0000  2 Cr 2.66

7.
This record from Alexandria describes a relaxed BaReAg crystal. The functional is PBE-GGA.

Calculated values
The calculation puts the total energy at -3.815 eV per atom. Its crystal system is cubic. Its formation enthalpy at 0 K is 1.93 eV per atom.

Unit cell a=5.2876 b=5.2876 c=5.2876 alpha=60.00 beta=60.00 gamma=60.00
Closest atoms and distances in Å follow each position.
Atoms (fractional coordinates):
Re 0.0000 0.0000 0.0000  4 Ba 3.24
Ba 0.2500 0.2500 0.2500  4 Re 3.24, 4 Ag 3.24
Ag 0.5000 0.5000 0.5000  4 Ba 3.24

8.
This record from Alexandria describes a relaxed Ce2Pm3NdTe6 crystal. The functional is PBE-GGA.

Calculated values
The raw formation energy comes out at -1.404 eV per atom. The calculation puts the total energy at -5.548 eV per atom. Its crystal system is monoclinic.

Unit cell a=4.4555 b=9.0168 c=10.0273 alpha=103.36 beta=102.84 gamma=90.00
Closest atoms and distances in Å follow each position.
Atoms (fractional coordinates):
Ce 0.8330 0.6654 0.6660  6 Te 3.16-3.18
Ce 0.1670 0.3346 0.3340  6 Te 3.16-3.18
Pm 0.5000 0.5000 0.0000  6 Te 3.15-3.16
Pm 0.8350 0.1670 0.6699  6 Te 3.14-3.18
Pm 0.1650 0.8330 0.3301  6 Te 3.14-3.18
Nd 0.5000 0.0000 0.0000  6 Te 3.18-3.19
Te 0.3323 0.9168 0.6645  3 Pm 3.16-3.18, 2 Ce 3.18, 1 Nd 3.19
Te 0.6660 0.5851 0.3321  3 Pm 3.15-3.16, 3 Ce 3.17-3.18
Te 0.6677 0.0832 0.3355  3 Pm 3.16-3.18, 2 Ce 3.18, 1 Nd 3.19
Te 0.0004 0.2518 0.0009  3 Pm 3.14-3.16, 1 Ce 3.16, 2 Nd 3.18
Te 0.9996 0.7482 0.9991  3 Pm 3.14-3.16, 1 Ce 3.16, 2 Nd 3.18
Te 0.3340 0.4149 0.6679  3 Pm 3.15-3.16, 3 Ce 3.17-3.18

9.
This record from Alexandria describes a relaxed CrCo2Ir crystal. The functional is PBE-GGA.

Calculated values
The calculation puts the total energy at -8.137 eV per atom. Its crystal system is monoclinic. Its formation enthalpy at 0 K is 0.04 eV per atom.

Unit cell a=4.4320 b=4.4320 c=4.4333 alpha=79.63 beta=79.63 gamma=34.26
Closest atoms and distances in Å follow each position.
Atoms (fractional coordinates):
Co 0.0010 0.0010 0.9874  6 Co 2.48-2.67, 3 Cr 2.53-2.54, 3 Ir 2.58-2.59
Co 0.4990 0.4990 0.5126  6 Co 2.48-2.67, 3 Cr 2.53-2.54, 3 Ir 2.58-2.59
Cr 0.7500 0.7500 0.7500  6 Co 2.53-2.54, 4 Ir 2.57, 2 Cr 2.61
Ir 0.2500 0.2500 0.2500  4 Cr 2.57, 6 Co 2.58-2.59, 2 Ir 2.61

10.
This record from Alexandria describes a relaxed Be2Cd crystal. The functional is PBE-GGA.

Calculated values
The calculation puts the total energy at -2.181 eV per atom. Its crystal system is hexagonal. Its formation enthalpy at 0 K is 0.61 eV per atom.

Unit cell a=4.1616 b=4.1616 c=5.2128 alpha=90.00 beta=90.00 gamma=120.00
Closest atoms and distances in Å follow each position.
Atoms (fractional coordinates):
Be 0.0000 0.0000 0.0000  8 Be 2.61-2.73, 6 Cd 2.73
Be 0.0000 0.0000 0.5000  8 Be 2.61-2.73, 6 Cd 2.73
Be 0.3333 0.6667 0.2500  5 Cd 2.40-2.61
Be 0.6667 0.3333 0.7500  5 Cd 2.40-2.61
Cd 0.6667 0.3333 0.2500  5 Be 2.40-2.61
Cd 0.3333 0.6667 0.7500  5 Be 2.40-2.61

11.
This record from Alexandria describes a relaxed Rb2HgAu6 crystal. The functional is PBE-GGA.

Calculated values
The calculation puts the total energy at -2.639 eV per atom. Its crystal system is triclinic. Its formation enthalpy at 0 K is -0.21 eV per atom.

Unit cell a=7.2907 b=7.3953 c=6.9422 alpha=122.55 beta=89.65 gamma=119.94
Closest atoms and distances in Å follow each position.
Atoms (fractional coordinates):
Rb 0.1465 0.2914 0.4401  9 Au 3.53-3.74
Rb 0.8535 0.7086 0.5599  9 Au 3.53-3.74
Hg 0.5000 0.0000 0.5000  6 Au 3.07-3.10
Au 0.2926 0.4385 0.0263  5 Au 2.73-2.89
Au 0.8550 0.2700 0.9797  5 Au 2.73-2.87
Au 0.4112 0.1215 0.9780  5 Au 2.74-2.89
Au 0.7074 0.5615 0.9737  5 Au 2.73-2.89
Au 0.5888 0.8785 0.0220  5 Au 2.74-2.89
Au 0.1450 0.7300 0.0203  5 Au 2.73-2.87

12.
This record from Alexandria describes a relaxed NpTaP crystal. The functional is PBE-GGA.

Calculated values
The calculation puts the total energy at -10.305 eV per atom. Its crystal system is tetragonal. Its formation enthalpy at 0 K is -0.24 eV per atom.

Unit cell a=3.3043 b=3.3043 c=5.6708 alpha=106.94 beta=106.94 gamma=90.00
Closest atoms and distances in Å follow each position.
Atoms (fractional coordinates):
Np 0.9958 0.9958 0.9917  5 Ta 3.06-3.15, 5 P 3.06-3.19, 4 Np 3.30
P 0.3041 0.3041 0.6081  4 Ta 2.57
Ta 0.7001 0.7001 0.4002  4 P 2.57

13.
This record from Alexandria describes a relaxed Rb3Na2BiO6 crystal. The functional is PBE-GGA.

Calculated values
The raw formation energy comes out at -1.069 eV per atom. The calculation puts the total energy at -4.333 eV per atom. Its crystal system is monoclinic.

Unit cell a=6.3152 b=6.3152 c=6.6731 alpha=98.89 beta=98.89 gamma=120.17
Closest atoms and distances in Å follow each position.
Atoms (fractional coordinates):
Rb 0.1787 0.8213 0.5000  6 O 2.82-3.03
Rb 0.8213 0.1787 0.5000  6 O 2.82-3.03
Rb 0.5000 0.5000 0.5000  6 O 2.81-3.09
Na 0.3334 0.6666 0.0000  6 O 2.54-2.59
Na 0.6666 0.3334 0.0000  6 O 2.54-2.59
Bi 0.0000 0.0000 0.0000  6 O 2.16-2.17
O 0.9370 0.6501 0.8143  1 Bi 2.17
O 0.7810 0.7810 0.1931  1 Bi 2.16
O 0.0630 0.3499 0.1857  1 Bi 2.17
O 0.6501 0.9370 0.8143  1 Bi 2.17
O 0.2190 0.2190 0.8069  1 Bi 2.16
O 0.3499 0.0630 0.1857  1 Bi 2.17

14.
This record from Alexandria describes a relaxed Ta3Fe4 crystal. The functional is PBE-GGA.

Calculated values
The calculation puts the total energy at -10.011 eV per atom. Its crystal system is tetragonal. Its formation enthalpy at 0 K is -0.10 eV per atom.

Unit cell a=10.6567 b=10.6567 c=10.6567 alpha=163.28 beta=163.28 gamma=23.73
Closest atoms and distances in Å follow each position.
Atoms (fractional coordinates):
Ta 0.0000 0.0000 0.0000  10 Fe 2.64-2.83
Ta 0.7054 0.7054 0.0000  5 Fe 2.63-2.82, 4 Ta 2.87
Ta 0.2946 0.2946 0.0000  5 Fe 2.63-2.82, 4 Ta 2.87
Fe 0.8645 0.8645 0.0000  4 Fe 2.58, 5 Ta 2.63-2.83
Fe 0.5704 0.5704 0.0000  4 Fe 2.58, 5 Ta 2.64-2.82
Fe 0.4296 0.4296 0.0000  4 Fe 2.58, 5 Ta 2.64-2.82
Fe 0.1355 0.1355 0.0000  4 Fe 2.58, 5 Ta 2.63-2.83

15.
This record from Alexandria describes a relaxed LaSbAu3 crystal. The functional is PBE-GGA.

Calculated values
The raw formation energy comes out at -0.101 eV per atom. The calculation puts the total energy at -3.878 eV per atom. Its crystal system is cubic.

Unit cell a=5.1998 b=5.1998 c=5.1998 alpha=90.00 beta=90.00 gamma=90.00
Closest atoms and distances in Å follow each position.
Atoms (fractional coordinates):
Sb 0.0000 0.0000 0.0000  6 Au 2.60
Au 0.0000 0.5000 0.0000  2 Sb 2.60
Au 0.0000 0.0000 0.5000  2 Sb 2.60
Au 0.5000 0.0000 0.0000  2 Sb 2.60
La 0.5000 0.5000 0.5000  12 Au 3.68

16.
This record from Alexandria describes a relaxed Nb2VHRh crystal. The functional is PBE-GGA.

Calculated values
The calculation puts the total energy at -8.160 eV per atom. Its crystal system is tetragonal.

Unit cell a=4.3788 b=4.3788 c=3.4669 alpha=90.00 beta=90.00 gamma=90.00
Closest atoms and distances in Å follow each position.
Atoms (fractional coordinates):
H 0.0000 0.0000 0.0000  2 V 1.73
Nb 0.0000 0.5000 0.0000  2 H 2.19
Nb 0.5000 0.0000 0.0000  2 H 2.19
Rh 0.5000 0.5000 0.5000  8 Nb 2.79, 4 V 3.10
V 0.0000 0.0000 0.5000  2 H 1.73

17.
This record from Alexandria describes a relaxed HfZr2Np3P6 crystal. The functional is PBE-GGA.

Calculated values
The calculation puts the total energy at -9.346 eV per atom. Its crystal system is monoclinic. Its formation enthalpy at 0 K is -1.15 eV per atom.

Unit cell a=6.6340 b=6.6340 c=6.6403 alpha=99.59 beta=99.59 gamma=119.97
Closest atoms and distances in Å follow each position.
Atoms (fractional coordinates):
Hf 0.0000 0.0000 0.0000  6 P 2.65-2.66
Zr 0.3337 0.6663 0.0000  6 P 2.68
Zr 0.6663 0.3337 0.0000  6 P 2.68
Np 0.1679 0.8321 0.5000  6 P 2.74-2.76
Np 0.8321 0.1679 0.5000  6 P 2.74-2.76
Np 0.5000 0.5000 0.5000  6 P 2.75-2.76
P 0.9206 0.5899 0.7615  1 Hf 2.65, 2 Zr 2.68, 3 Np 2.74-2.76
P 0.7495 0.7495 0.2399  1 Hf 2.66, 2 Zr 2.68, 3 Np 2.75-2.76
P 0.0794 0.4101 0.2385  1 Hf 2.65, 2 Zr 2.68, 3 Np 2.74-2.76
P 0.5899 0.9206 0.7615  1 Hf 2.65, 2 Zr 2.68, 3 Np 2.74-2.76
P 0.2505 0.2505 0.7601  1 Hf 2.66, 2 Zr 2.68, 3 Np 2.75-2.76
P 0.4101 0.0794 0.2385  1 Hf 2.65, 2 Zr 2.68, 3 Np 2.74-2.76

18.
This record from Alexandria describes a relaxed TmPHRh2 crystal. The functional is PBE-GGA.

Calculated values
The calculation puts the total energy at -6.493 eV per atom. Its crystal system is orthorhombic.

Unit cell a=3.7418 b=5.5535 c=7.0447 alpha=90.00 beta=90.00 gamma=109.69
Closest atoms and distances in Å follow each position.
Atoms (fractional coordinates):
Tm 0.4461 0.8923 0.7500  4 H 2.63, 1 P 2.93
Tm 0.5539 0.1077 0.2500  4 H 2.63, 1 P 2.93
P 0.7264 0.4528 0.7500  6 Rh 2.43-2.45
P 0.2736 0.5472 0.2500  6 Rh 2.43-2.45
H 0.0000 0.0000 0.0000  2 Rh 1.71
H 0.0000 0.0000 0.5000  2 Rh 1.71
Rh 0.1597 0.3193 0.9464  1 H 1.71
Rh 0.8403 0.6807 0.0536  1 H 1.71
Rh 0.1597 0.3193 0.5536  1 H 1.71
Rh 0.8403 0.6807 0.4464  1 H 1.71

19.
This record from Alexandria describes a relaxed Li2NdWN4 crystal. The functional is PBE-GGA.

Calculated values
The raw formation energy comes out at -0.710 eV per atom. The calculation puts the total energy at -7.566 eV per atom. Its crystal system is tetragonal.

Unit cell a=5.4412 b=5.1493 c=5.1493 alpha=83.31 beta=58.11 gamma=58.11
Closest atoms and distances in Å follow each position.
Atoms (fractional coordinates):
Li 0.5000 0.7501 0.2499  4 N 2.06
Li 0.5000 0.2499 0.7501  4 N 2.06
Nd 0.0000 0.0000 0.0000  8 N 2.53-2.82
W 0.0000 0.5000 0.5000  4 N 1.88
N 0.5962 0.5465 0.8573  1 W 1.88, 2 Li 2.06
N 0.4038 0.1427 0.4535  1 W 1.88, 2 Li 2.06
N 0.0000 0.4535 0.1427  1 W 1.88, 2 Li 2.06
N 0.0000 0.8573 0.5465  1 W 1.88, 2 Li 2.06

20.
This record from Alexandria describes a relaxed AlAgAu3 crystal. The functional is PBE-GGA.

Calculated values
The calculation puts the total energy at -2.984 eV per atom. Its crystal system is cubic. Its formation enthalpy at 0 K is 0.30 eV per atom.

Unit cell a=4.8241 b=4.8241 c=4.8241 alpha=90.00 beta=90.00 gamma=90.00
Closest atoms and distances in Å follow each position.
Atoms (fractional coordinates):
Au 0.0000 0.5000 0.0000  2 Al 2.41
Au 0.0000 0.0000 0.5000  2 Al 2.41
Au 0.5000 0.0000 0.0000  2 Al 2.41
Al 0.0000 0.0000 0.0000  6 Au 2.41
Ag 0.5000 0.5000 0.5000  12 Au 3.41

Density for every record listed, in sequence, given in kg/m³: 10782 6790 17657 3669 6923 6637 6853 7072 12487 5540 10109 13213 4610 12707 10058 8510 8749 9800 6523 10735.